A | Compound: LiYZr
Source: Alexandria via LeMat-Bulk
Functional: PBE
Structure: relaxed

a b c (Å): 5.439 10.693 5.102
angles (deg): 90.00 90.00 90.00
Space group Amm2 (No. 38)
Unique sites:
1 Li 0.000 0.183 0.000 (multiplicity 4)
2 Y 0.000 0.000 0.499 (multiplicity 2)
3 Y 0.500 0.000 0.995 (multiplicity 2)
4 Zr 0.500 0.195 0.493 (multiplicity 4)

Total magnetic moment: 0.0000 μB per atom
Density of states at the Fermi level: 1.315 states/eV/atom

B | Compound: LiYZr
Source: Alexandria via LeMat-Bulk
Functional: PBE
Structure: relaxed

a b c (Å): 16.646 3.399 5.222
angles (deg): 90.00 95.91 90.00
Space group C2/m (No. 12)
Unique sites:
1 Li 0.069 0.000 0.198 (multiplicity 4)
2 Y 0.101 0.500 0.699 (multiplicity 4)
3 Zr 0.229 0.500 0.242 (multiplicity 4)

Total magnetic moment: 0.0000 μB per atom
Density of states at the Fermi level: 1.254 states/eV/atom

Stability, lowest: A

A | Compound: TlZnOs2
Source: Alexandria via LeMat-Bulk
Functional: PBE
Structure: relaxed

a b c (Å): 5.345 8.255 3.000
angles (deg): 90.00 90.00 90.00
Space group Cmmm (No. 65)
Unique sites:
1 Tl 0.000 0.000 0.000 (multiplicity 2)
2 Zn 0.000 0.500 0.000 (multiplicity 2)
3 Os 0.250 0.250 0.500 (multiplicity 4)

Total magnetic moment: 0.0000 μB per atom
Density of states at the Fermi level: 0.941 states/eV/atom

B | Compound: TlZnOs2
Source: Alexandria via LeMat-Bulk
Functional: PBE
Structure: relaxed

a b c (Å): 3.174 3.174 6.427
angles (deg): 90.00 90.00 90.00
Space group P4/mmm (No. 123)
Unique sites:
1 Tl 0.000 0.000 0.000 (multiplicity 1)
2 Zn 0.000 0.000 0.500 (multiplicity 1)
3 Os 0.500 0.500 0.290 (multiplicity 2)

Total magnetic moment: 0.0002 μB per atom
Density of states at the Fermi level: 1.165 states/eV/atom

Stability, lowest: A

A | Compound: FeCu2Ir
Source: Alexandria via LeMat-Bulk
Functional: PBE
Structure: relaxed

a b c (Å): 8.810 2.645 4.453
angles (deg): 90.00 100.72 90.00
Space group C2/m (No. 12)
Unique sites:
1 Fe 0.000 0.000 0.000 (multiplicity 2)
2 Cu 0.250 0.000 0.754 (multiplicity 4)
3 Ir 0.000 0.500 0.500 (multiplicity 2)

Total magnetic moment: 0.7374 μB per atom
Density of states at the Fermi level: 0.853 states/eV/atom

B | Compound: FeCu2Ir
Source: Alexandria via LeMat-Bulk
Functional: PBE
Structure: relaxed

a b c (Å): 2.636 2.636 7.382
angles (deg): 90.00 90.00 90.00
Space group P4/mmm (No. 123)
Unique sites:
1 Fe 0.000 0.000 0.000 (multiplicity 1)
2 Cu 0.500 0.500 0.242 (multiplicity 2)
3 Ir 0.000 0.000 0.500 (multiplicity 1)

Total magnetic moment: 0.7694 μB per atom
Density of states at the Fermi level: 0.983 states/eV/atom

Stability, lowest: B